Computed, not measured: a relaxed structure of BaHfMo at the PBE-GGA level of DFT.

Unit cell a=4.8770 b=4.8770 c=4.8770 alpha=60.00 beta=60.00 gamma=60.00
Sites, in units of the cell vectors:
Ba1 0.0000 0.0000 0.0000
Hf1 0.7500 0.7500 0.7500
Mo1 0.2500 0.2500 0.2500

Calculated values
Symmetry: F-43m (216)
Total magnetization, μB/f.u.: 1.87
Raw total energy, eV/atom: -5.3982
ρ, g cm⁻³: 8.3

=====

Computed, not measured: a relaxed structure of BaHfMo2 at the PBE-GGA level of DFT.

Unit cell a=4.9178 b=4.9178 c=4.9178 alpha=60.00 beta=60.00 gamma=60.00
Sites, in units of the cell vectors:
Ba1 0.0000 0.0000 0.0000
Hf1 0.2500 0.2500 0.2500
Mo1 0.5000 0.5000 0.5000
Mo2 0.7500 0.7500 0.7500

Calculated values
Symmetry: F-43m (216)
Total magnetization, μB/f.u.: 0.02
Raw total energy, eV/atom: -7.2794
ρ, g cm⁻³: 10.0

=====

Computed, not measured: a relaxed structure of Ba2HfMoN4 at the PBE-GGA level of DFT.

Unit cell a=4.0885 b=4.0885 c=8.2406 alpha=90.00 beta=90.00 gamma=90.00
Sites, in units of the cell vectors:
Ba1 0.0000 0.0000 0.0000
Ba2 0.5000 0.5000 0.3138
Hf1 0.0000 0.0000 0.5873
Mo1 0.5000 0.5000 0.7526
N1 0.0000 0.0000 0.3467
N2 0.0000 0.5000 0.6788
N3 0.5000 0.0000 0.6788
N4 0.5000 0.5000 0.9747

Calculated values
Symmetry: P4mm (99)
Total magnetization, μB/f.u.: 1.24
Raw total energy, eV/atom: -8.1209
ρ, g cm⁻³: 7.3

=====

Among the records above, which one has the highest total magnetization?
BaHfMo

=====

Among the records above, which one has the highest raw total energy?
BaHfMo

=====

Look up the raw total energy of the second one.
-7.2794 eV/atom

=====

raw total energy of number 3 (Ba2HfMoN4)?
-8.1209 eV/atom